Below is Th2InHg6 after structural relaxation, with properties calculated at the PBE-GGA level. Values from VASP.

Properties
Calculated formation energy   -95 meV per atom
Total DFT energy (no corrections)   -2.249 eV per atom
Relative energy among the computed polymorphs   0.057 eV/atom

Geometry as Quantum ESPRESSO input:
```
&SYSTEM
  ibrav = 0, nat = 9, ntyp = 3
/
ATOMIC_SPECIES
Th 232.04 Th.upf
In 114.82 In.upf
Hg 200.59 Hg.upf
CELL_PARAMETERS angstrom
4.736 0.000 -1.554
-0.945 5.620 -2.879
0.226 0.860 8.684
ATOMIC_POSITIONS crystal
Th 0.612 0.112 0.223
Th 0.388 0.888 0.777
In 0.500 0.500 0.000
Hg 0.803 0.543 0.606
Hg 0.197 0.457 0.394
Hg 0.197 0.937 0.394
Hg 0.000 0.236 0.000
Hg 0.000 0.764 0.000
Hg 0.803 0.063 0.606
```